The following is a GGA-PBE calculation of crystalline Y3Be at its relaxed geometry, from the Alexandria database.

The structure belongs to space group Pmmn (No. 59, origin choice 2); the cell edges are 4.964, 6.676 and 6.235 Å and the angles 90.00°, 90.00° and 90.00°. Symmetry generates all atoms from Y at (0.250, 0.010, 0.170), Y at (0.250, 0.250, 0.615) and Be at (0.250, 0.750, 0.665).

The relative energy among the computed polymorphs comes out at 177 meV per atom.

The following is a GGA-PBE calculation of crystalline ZnBPd5 at its relaxed geometry, from the Alexandria database.

The structure belongs to space group P4/mmm (No. 123); the cell edges are 3.830, 3.830 and 6.749 Å and the angles 90.00°, 90.00° and 90.00°. Symmetry generates all atoms from Zn at (0.000, 0.000, 0.000), B at (0.500, 0.500, 0.500), Pd at (0.000, 0.500, 0.304) and Pd at (0.500, 0.500, 0.000).

The relative energy among the computed polymorphs comes out at 0 meV per atom.

One value per record, in order, for raw total energy: -22.16 -35.36 eV/f.u..